ScCuHg2 after structural relaxation, computed with PBE.

Calculated values
The calculation puts the formation energy at 48 meV per atom. The value obtained for the density of states at the Fermi level is 9.66 states/eV/cell.

Cell and atoms, written as POSCAR:
```
ScCuHg2
1.0
-1.033 6.749 3.494
-5.055 -3.243 4.770
-0.870 1.116 6.004
Sc Hg Cu
2 4 2
direct
0.500 0.500 0.000
0.250 0.750 0.500
0.661 0.125 0.250
0.089 0.625 0.250
0.375 0.339 0.750
0.875 0.911 0.750
0.000 0.000 0.000
0.750 0.250 0.500
```

***

Sc2CuHg2 after structural relaxation, computed with PBE.

Calculated values
The value obtained for the excess energy over the best structure of this formula in the dataset is 0 meV per atom. The calculation puts the formation energy at -206 meV per atom. The value obtained for the density of states at the Fermi level is 8.54 states/eV/cell.

Cell and atoms, written as POSCAR:
```
Sc2CuHg2
1.0
-2.407 -2.361 4.260
-1.800 -4.473 -3.497
7.535 0.218 0.915
Sc Cu Hg
4 2 4
direct
0.332 0.515 0.665
0.668 0.485 0.335
0.168 0.850 0.335
0.832 0.150 0.665
0.750 0.500 0.000
0.250 0.500 0.000
0.897 0.736 0.794
0.103 0.264 0.206
0.603 0.942 0.206
0.397 0.058 0.794
```

***

Sc2CuHg after structural relaxation, computed with PBE.

Calculated values
The calculation puts the formation energy at -196 meV per atom. The value obtained for the density of states at the Fermi level is 2.65 states/eV/cell.

Cell and atoms, written as POSCAR:
```
Sc2CuHg
1.0
-1.666 1.583 -2.679
-1.149 -3.137 -1.139
-5.280 0.610 3.645
Cu Hg Sc
1 1 2
direct
0.000 0.000 0.492
0.500 0.500 0.739
0.000 0.000 0.980
0.500 0.500 0.289
```

***

ScCuHg3 after structural relaxation, computed with PBE.

Calculated values
The value obtained for the excess energy over the best structure of this formula in the dataset is 484 meV per atom. The calculation puts the formation energy at 704 meV per atom. The value obtained for the density of states at the Fermi level is 4.21 states/eV/cell.

Cell and atoms, written as POSCAR:
```
ScCuHg3
1.0
-1.266 5.285 -1.277
-4.502 -1.754 -2.796
-3.048 0.396 4.660
Sc Hg Cu
1 3 1
direct
0.000 0.000 0.000
0.000 0.500 0.000
0.000 0.000 0.500
0.500 0.000 0.000
0.500 0.500 0.500
```

***

ScCu2Hg after structural relaxation, computed with PBE.

Calculated values
The calculation puts the formation energy at -121 meV per atom. The value obtained for the density of states at the Fermi level is 2.64 states/eV/cell.

Cell and atoms, written as POSCAR:
```
ScCu2Hg
1.0
-0.852 -1.331 -2.826
-2.423 -1.562 1.466
-3.937 5.008 -1.173
Cu Hg Sc
2 1 1
direct
0.000 0.000 0.030
0.500 0.500 0.214
0.000 0.000 0.471
0.500 0.500 0.785
```

***

ScCuHg3 after structural relaxation, computed with PBE.

Calculated values
The value obtained for the excess energy over the best structure of this formula in the dataset is 0 meV per atom. The calculation puts the formation energy at 220 meV per atom. The value obtained for the density of states at the Fermi level is 5.12 states/eV/cell.

Cell and atoms, written as POSCAR:
```
ScCuHg3
1.0
-2.988 -1.859 3.453
3.760 -2.588 1.862
1.110 3.762 2.986
Sc Hg Cu
1 3 1
direct
0.500 0.500 0.500
0.000 0.500 0.000
0.000 0.000 0.500
0.500 0.000 0.000
0.000 0.000 0.000
```

***

ScCu2Hg after structural relaxation, computed with PBE.

Calculated values
The calculation puts the formation energy at -111 meV per atom. The value obtained for the density of states at the Fermi level is 1.64 states/eV/cell.

Cell and atoms, written as POSCAR:
```
ScCu2Hg
1.0
3.267 0.000 0.000
0.000 3.317 0.574
0.000 2.286 6.685
Cu Hg Sc
2 1 1
direct
0.000 0.012 0.988
0.000 0.488 0.512
0.500 0.250 0.250
0.500 0.750 0.750
```

***

Sc2CuHg after structural relaxation, computed with PBE.

Calculated values
The calculation puts the formation energy at -84 meV per atom. The value obtained for the density of states at the Fermi level is 3.60 states/eV/cell.

Cell and atoms, written as POSCAR:
```
Sc2CuHg
1.0
3.457 0.000 0.000
0.000 5.818 -0.007
0.000 3.942 4.264
Cu Hg Sc
1 1 2
direct
0.500 0.500 0.500
0.000 0.000 0.500
0.000 0.000 0.000
0.500 0.500 0.000
```